Tb3CePr4Te8 | PBE | optimized geometry

a = 8.8860 Å, b = 8.9849 Å, c = 8.8861 Å
α = 119.64°, β = 120.00°, γ = 90.00°
Site moments in Bohr magnetons follow the coordinates.
Fractional positions:
Ce 0.0000 0.5000 0.0000  0.84
Tb 0.5000 0.5000 0.5000  0.01
Pr 0.0000 0.0000 0.5000  0.01
Pr 0.5000 0.0000 0.5000  0.01
Tb 0.0000 0.5000 0.5000  0.01
Te 0.2574 0.2604 0.0089  0.00
Te 0.2544 0.2634 0.5089  0.00
Pr 0.0000 0.0000 0.0000  0.01
Pr 0.5000 0.0000 0.0000  0.00
Te 0.7426 0.7396 0.9911  0.00
Te 0.7515 0.2604 0.0089  0.00
Te 0.2485 0.7396 0.4969  0.00
Te 0.7515 0.2604 0.5031  0.00
Tb 0.5000 0.5000 0.0000  0.01
Te 0.2485 0.7396 0.9911  0.00
Te 0.7456 0.7366 0.4911  0.00

Output
**Calculated total energy**: -5.389 eV/atom

***

PmErC | PBE | optimized geometry

a = 3.6131 Å, b = 6.2670 Å, c = 6.6333 Å
α = 98.88°, β = 105.80°, γ = 90.00°
Site moments in Bohr magnetons follow the coordinates.
Fractional positions:
C 0.5000 0.0000 0.0000  -0.01
C 0.0000 0.5000 0.0000  0.00
Er 0.1035 0.8671 0.2070  0.09
Er 0.8965 0.1329 0.7930  0.09
Pm 0.6135 0.3700 0.2270  0.05
Pm 0.3865 0.6300 0.7730  0.05

Output
**Energy of formation from the pure elements**: -0.212 eV/atom

***

no.,magnetic moment (μB/f.u.)
1,1.1
2,0.3